(1)
Computed, not measured: a relaxed TbY8Er4 crystal at the PBE level of DFT.

Computed properties:
size of the total moment	0.00	Bohr magnetons per cell
space-group type	R-3m
ΔE_f	21	kJ/mol of atoms

```
data_TbY8Er4
_space_group_name_H-M_alt 'P 1'
_space_group_IT_number 1
_space_group_name_Hall 'P 1'
_cell_length_a 7.268
_cell_length_b 7.268
_cell_length_c 10.047
_cell_angle_alpha 90.00
_cell_angle_beta 111.20
_cell_angle_gamma 120.00
loop_
_atom_site_label
_atom_site_fract_x
_atom_site_fract_y
_atom_site_fract_z
_atom_site_occupancy
Tb1 0.000 0.500 0.500 1
Y1 0.568 0.784 0.353 1
Y2 0.432 0.216 0.647 1
Y3 0.500 0.250 0.300 1
Y4 0.950 0.200 0.700 1
Y5 0.500 0.750 0.700 1
Y6 0.950 0.750 0.700 1
Y7 0.050 0.250 0.300 1
Y8 0.050 0.800 0.300 1
Er1 0.000 0.000 0.000 1
Er2 0.000 0.500 0.000 1
Er3 0.500 0.500 0.000 1
Er4 0.500 0.000 0.000 1
```

(2)
Computed, not measured: a relaxed Tb4Y9Er11 crystal at the PBE level of DFT.

Computed properties:
size of the total moment	1.23	Bohr magnetons per cell
space-group type	Cmmm
ΔE_f	4	kJ/mol of atoms

```
data_Tb4Y9Er11
_space_group_name_H-M_alt 'P 1'
_space_group_IT_number 1
_space_group_name_Hall 'P 1'
_cell_length_a 3.658
_cell_length_b 15.020
_cell_length_c 15.020
_cell_angle_alpha 112.85
_cell_angle_beta 90.00
_cell_angle_gamma 90.00
loop_
_atom_site_label
_atom_site_fract_x
_atom_site_fract_y
_atom_site_fract_z
_atom_site_occupancy
Tb1 0.500 0.554 0.755 1
Tb2 0.500 0.446 0.245 1
Tb3 0.500 0.755 0.554 1
Tb4 0.500 0.245 0.446 1
Y1 0.500 0.632 0.163 1
Y2 0.500 0.368 0.837 1
Y3 0.500 0.163 0.632 1
Y4 0.500 0.837 0.368 1
Y5 0.500 0.786 0.932 1
Y6 0.500 0.214 0.068 1
Y7 0.500 0.932 0.786 1
Y8 0.500 0.068 0.214 1
Y9 0.500 0.500 0.500 1
Er1 0.000 0.593 0.955 1
Er2 0.000 0.407 0.045 1
Er3 0.000 0.955 0.593 1
Er4 0.000 0.045 0.407 1
Er5 0.000 0.633 0.367 1
Er6 0.000 0.367 0.633 1
Er7 0.000 0.841 0.159 1
Er8 0.000 0.159 0.841 1
Er9 0.000 0.000 0.000 1
Er10 0.000 0.708 0.708 1
Er11 0.000 0.292 0.292 1
```

(3)
Computed, not measured: a relaxed Tb6Y8Er crystal at the PBE level of DFT.

Computed properties:
size of the total moment	0.00	Bohr magnetons per cell
space-group type	R-3
ΔE_f	18	kJ/mol of atoms

```
data_Tb6Y8Er
_space_group_name_H-M_alt 'P 1'
_space_group_IT_number 1
_space_group_name_Hall 'P 1'
_cell_length_a 9.740
_cell_length_b 9.740
_cell_length_c 8.151
_cell_angle_alpha 53.31
_cell_angle_beta 53.31
_cell_angle_gamma 60.00
loop_
_atom_site_label
_atom_site_fract_x
_atom_site_fract_y
_atom_site_fract_z
_atom_site_occupancy
Tb1 0.387 0.931 0.967 1
Tb2 0.069 0.285 0.033 1
Tb3 0.285 0.613 0.033 1
Tb4 0.715 0.387 0.967 1
Tb5 0.931 0.715 0.967 1
Tb6 0.613 0.069 0.033 1
Y1 0.354 0.230 0.487 1
Y2 0.770 0.072 0.513 1
Y3 0.072 0.646 0.513 1
Y4 0.588 0.588 0.236 1
Y5 0.412 0.412 0.764 1
Y6 0.928 0.354 0.487 1
Y7 0.230 0.928 0.487 1
Y8 0.646 0.770 0.513 1
Er1 0.000 0.000 0.000 1
```

(4)
Computed, not measured: a relaxed Tb2Y2Er3 crystal at the PBE level of DFT.

Computed properties:
size of the total moment	0.00	Bohr magnetons per cell
space-group type	P2_1/c
ΔE_f	20	kJ/mol of atoms

```
data_Tb2Y2Er3
_space_group_name_H-M_alt 'P 1'
_space_group_IT_number 1
_space_group_name_Hall 'P 1'
_cell_length_a 6.498
_cell_length_b 10.889
_cell_length_c 6.396
_cell_angle_alpha 90.00
_cell_angle_beta 86.27
_cell_angle_gamma 90.00
loop_
_atom_site_label
_atom_site_fract_x
_atom_site_fract_y
_atom_site_fract_z
_atom_site_occupancy
Tb1 0.540 0.350 0.554 1
Tb2 0.960 0.850 0.446 1
Tb3 0.040 0.150 0.554 1
Tb4 0.460 0.650 0.446 1
Y1 0.756 0.734 0.878 1
Y2 0.256 0.766 0.878 1
Y3 0.744 0.234 0.122 1
Y4 0.244 0.266 0.122 1
Er1 0.500 0.500 0.000 1
Er2 0.000 0.000 0.000 1
Er3 0.539 0.045 0.747 1
Er4 0.961 0.545 0.253 1
Er5 0.039 0.455 0.747 1
Er6 0.461 0.955 0.253 1
```

(5)
Computed, not measured: a relaxed TbY12Er3 crystal at the PBE level of DFT.

Computed properties:
size of the total moment	0.00	Bohr magnetons per cell
space-group type	P4/mmm
ΔE_f	2	kJ/mol of atoms

```
data_TbY12Er3
_space_group_name_H-M_alt 'P 1'
_space_group_IT_number 1
_space_group_name_Hall 'P 1'
_cell_length_a 5.033
_cell_length_b 5.033
_cell_length_c 20.132
_cell_angle_alpha 90.00
_cell_angle_beta 90.00
_cell_angle_gamma 90.00
loop_
_atom_site_label
_atom_site_fract_x
_atom_site_fract_y
_atom_site_fract_z
_atom_site_occupancy
Tb1 0.000 0.000 0.000 1
Y1 0.500 0.500 0.000 1
Y2 0.500 0.500 0.250 1
Y3 0.500 0.500 0.500 1
Y4 0.500 0.500 0.750 1
Y5 0.500 0.000 0.125 1
Y6 0.500 0.000 0.375 1
Y7 0.500 0.000 0.625 1
Y8 0.500 0.000 0.875 1
Y9 0.000 0.500 0.125 1
Y10 0.000 0.500 0.375 1
Y11 0.000 0.500 0.625 1
Y12 0.000 0.500 0.875 1
Er1 0.000 0.000 0.250 1
Er2 0.000 0.000 0.500 1
Er3 0.000 0.000 0.750 1
```

(6)
Computed, not measured: a relaxed Tb6Y3Er crystal at the PBE level of DFT.

Computed properties:
size of the total moment	0.00	Bohr magnetons per cell
space-group type	Cmc2_1
ΔE_f	14	kJ/mol of atoms

```
data_Tb6Y3Er
_space_group_name_H-M_alt 'P 1'
_space_group_IT_number 1
_space_group_name_Hall 'P 1'
_cell_length_a 6.170
_cell_length_b 11.023
_cell_length_c 11.023
_cell_angle_alpha 119.81
_cell_angle_beta 90.00
_cell_angle_gamma 90.00
loop_
_atom_site_label
_atom_site_fract_x
_atom_site_fract_y
_atom_site_fract_z
_atom_site_occupancy
Tb1 0.034 0.711 0.619 1
Tb2 0.534 0.619 0.711 1
Tb3 0.362 0.534 0.955 1
Tb4 0.862 0.955 0.534 1
Tb5 0.426 0.953 0.047 1
Tb6 0.640 0.281 0.719 1
Tb7 0.140 0.719 0.281 1
Tb8 0.926 0.047 0.953 1
Tb9 0.362 0.045 0.466 1
Tb10 0.862 0.466 0.045 1
Tb11 0.034 0.381 0.289 1
Tb12 0.534 0.289 0.381 1
Y1 0.460 0.941 0.722 1
Y2 0.960 0.722 0.941 1
Y3 0.069 0.389 0.611 1
Y4 0.569 0.611 0.389 1
Y5 0.960 0.059 0.278 1
Y6 0.460 0.278 0.059 1
Er1 0.137 0.206 0.794 1
Er2 0.637 0.794 0.206 1
```

(7)
Computed, not measured: a relaxed Tb2Y6Er5 crystal at the PBE level of DFT.

Computed properties:
size of the total moment	0.00	Bohr magnetons per cell
space-group type	Pbam
ΔE_f	10	kJ/mol of atoms

```
data_Tb2Y6Er5
_space_group_name_H-M_alt 'P 1'
_space_group_IT_number 1
_space_group_name_Hall 'P 1'
_cell_length_a 3.570
_cell_length_b 11.640
_cell_length_c 20.142
_cell_angle_alpha 90.00
_cell_angle_beta 90.00
_cell_angle_gamma 90.00
loop_
_atom_site_label
_atom_site_fract_x
_atom_site_fract_y
_atom_site_fract_z
_atom_site_occupancy
Tb1 0.000 0.335 0.290 1
Tb2 0.000 0.665 0.710 1
Tb3 0.000 0.835 0.210 1
Tb4 0.000 0.165 0.790 1
Y1 0.000 0.085 0.369 1
Y2 0.000 0.915 0.631 1
Y3 0.000 0.585 0.131 1
Y4 0.000 0.415 0.869 1
Y5 0.500 0.327 0.133 1
Y6 0.500 0.673 0.867 1
Y7 0.500 0.827 0.367 1
Y8 0.500 0.173 0.633 1
Y9 0.000 0.557 0.419 1
Y10 0.000 0.443 0.581 1
Y11 0.000 0.057 0.081 1
Y12 0.000 0.943 0.919 1
Er1 0.500 0.301 0.451 1
Er2 0.500 0.699 0.549 1
Er3 0.500 0.801 0.049 1
Er4 0.500 0.199 0.951 1
Er5 0.500 0.592 0.273 1
Er6 0.500 0.408 0.727 1
Er7 0.500 0.092 0.227 1
Er8 0.500 0.908 0.773 1
Er9 0.500 0.500 0.000 1
Er10 0.500 0.000 0.500 1
```

(8)
Computed, not measured: a relaxed Tb5Y4Er4 crystal at the PBE level of DFT.

Computed properties:
size of the total moment	0.00	Bohr magnetons per cell
space-group type	I4/m
ΔE_f	2	kJ/mol of atoms

```
data_Tb5Y4Er4
_space_group_name_H-M_alt 'P 1'
_space_group_IT_number 1
_space_group_name_Hall 'P 1'
_cell_length_a 5.007
_cell_length_b 9.388
_cell_length_c 9.388
_cell_angle_alpha 85.92
_cell_angle_beta 74.53
_cell_angle_gamma 74.53
loop_
_atom_site_label
_atom_site_fract_x
_atom_site_fract_y
_atom_site_fract_z
_atom_site_occupancy
Tb1 0.693 0.845 0.769 1
Tb2 0.307 0.155 0.231 1
Tb3 0.000 0.000 0.000 1
Tb4 0.538 0.769 0.155 1
Tb5 0.462 0.231 0.845 1
Y1 0.769 0.385 0.078 1
Y2 0.231 0.615 0.922 1
Y3 0.847 0.922 0.385 1
Y4 0.153 0.078 0.615 1
Er1 0.924 0.462 0.690 1
Er2 0.614 0.310 0.462 1
Er3 0.076 0.538 0.310 1
Er4 0.386 0.690 0.538 1
```